Material: Cr2InF8
Method: DFT, PBE+U
State: optimized geometry

abc: 5.472 5.472 5.184
angles: 100.31 100.31 78.95
Sites, in units of the cell vectors:
Cr  0.184  0.184  0.470
Cr  0.816  0.816  0.530
In  0.500  0.500  0.000
F  0.058  0.058  0.743
F  0.172  0.540  0.703
F  0.317  0.317  0.203
F  0.460  0.828  0.297
F  0.540  0.172  0.703
F  0.683  0.683  0.797
F  0.828  0.460  0.297
F  0.942  0.942  0.257

Summary:
energy	-5.44	eV per atom
N(E_F)	3.54	states/eV/f.u.